1.
Pm2Zn2Cu after structural relaxation. Source: Alexandria, functional PBE.

Its symmetry is C2/m.

Lattice parameters (Å, degrees): 4.5372 5.5350 9.9418 85.71 76.81 65.80
Last column: nearest neighbours and their distance in Å.
Positions (direct):
1 Cu 0.6227 0.1048 0.6498  4 Zn 2.54-2.77
2 Cu 0.3773 0.8952 0.3502  4 Zn 2.54-2.77
3 Zn 0.3811 0.1201 0.1178  1 Cu 2.54, 1 Zn 2.56
4 Zn 0.6189 0.8799 0.8822  1 Cu 2.54, 1 Zn 2.56
5 Zn 0.9167 0.7296 0.4370  3 Cu 2.57-2.77, 1 Zn 2.64
6 Zn 0.0833 0.2704 0.5630  3 Cu 2.57-2.77, 1 Zn 2.64
7 Pm 0.3186 0.6985 0.6643  4 Cu 3.00-3.22, 7 Zn 3.07-3.27
8 Pm 0.6814 0.3015 0.3357  4 Cu 3.00-3.22, 7 Zn 3.07-3.27
9 Pm 0.0900 0.7088 0.1112  6 Zn 2.97-3.30
10 Pm 0.9100 0.2912 0.8888  6 Zn 2.97-3.30

---

2.
Pm2Zn3Cu after structural relaxation. Source: Alexandria, functional PBE.

Its symmetry is Fmmm.

Lattice parameters (Å, degrees): 5.7427 5.7427 8.6057 104.60 104.60 104.16
Last column: nearest neighbours and their distance in Å.
Positions (direct):
1 Zn 0.8324 0.8324 0.6649  1 Cu 2.60, 2 Zn 2.63
2 Zn 0.3357 0.8328 0.1685  1 Cu 2.60, 2 Zn 2.63-2.64
3 Zn 0.1672 0.6643 0.8315  1 Cu 2.60, 2 Zn 2.63-2.64
4 Zn 0.1676 0.1676 0.3351  1 Cu 2.60, 2 Zn 2.63
5 Zn 0.8328 0.3357 0.1685  1 Cu 2.60, 2 Zn 2.63-2.64
6 Zn 0.6643 0.1672 0.8315  1 Cu 2.60, 2 Zn 2.63-2.64
7 Pm 0.2500 0.7500 0.5000  8 Zn 3.14-3.15, 4 Cu 3.15
8 Pm 0.7500 0.2500 0.5000  8 Zn 3.14-3.15, 4 Cu 3.15
9 Pm 0.7445 0.7445 0.0000  10 Zn 3.13-3.19, 2 Cu 3.14, 1 Pm 3.45
10 Pm 0.2555 0.2555 0.0000  10 Zn 3.13-3.19, 2 Cu 3.14, 1 Pm 3.45
11 Cu 0.3331 0.3331 0.6662  3 Zn 2.60
12 Cu 0.6669 0.6669 0.3338  3 Zn 2.60

---

3.
PmZn6Cu2 after structural relaxation. Source: Alexandria, functional PBE.

Its symmetry is Fd-3m.

Lattice parameters (Å, degrees): 8.0563 8.0563 8.0563 60.00 60.00 60.00
Last column: nearest neighbours and their distance in Å.
Positions (direct):
1 Zn 0.2370 0.7630 0.7630  2 Cu 2.38
2 Zn 0.4870 0.4870 0.0130  2 Cu 2.38
3 Zn 0.4870 0.0130 0.0130  2 Cu 2.38
4 Zn 0.2370 0.2370 0.7630  2 Cu 2.38
5 Zn 0.7630 0.7630 0.2370  2 Cu 2.38
6 Zn 0.0130 0.0130 0.4870  2 Cu 2.38
7 Zn 0.0130 0.4870 0.0130  2 Cu 2.38
8 Zn 0.0130 0.4870 0.4870  2 Cu 2.38
9 Zn 0.2370 0.7630 0.2370  2 Cu 2.38
10 Zn 0.7630 0.2370 0.2370  2 Cu 2.38
11 Zn 0.4870 0.0130 0.4870  2 Cu 2.38
12 Zn 0.7630 0.2370 0.7630  2 Cu 2.38
13 Pm 0.7500 0.7500 0.7500  6 Zn 3.00
14 Pm 0.5000 0.5000 0.5000  6 Zn 3.00
15 Cu 0.1250 0.6250 0.1250  6 Zn 2.38
16 Cu 0.1250 0.1250 0.6250  6 Zn 2.38
17 Cu 0.1250 0.1250 0.1250  6 Zn 2.38
18 Cu 0.6250 0.1250 0.1250  6 Zn 2.38

---

4.
Pm3Zn3Cu8 after structural relaxation. Source: Alexandria, functional PBE.

Its symmetry is Immm.

Lattice parameters (Å, degrees): 4.2741 7.9986 7.9986 67.71 74.50 74.50
Last column: nearest neighbours and their distance in Å.
Positions (direct):
1 Cu 0.3718 0.9103 0.3462  3 Cu 2.52-2.64, 3 Zn 2.52-2.68
2 Cu 0.1688 0.1883 0.4741  1 Zn 2.51, 4 Cu 2.52-2.64
3 Cu 0.6282 0.6538 0.0897  3 Cu 2.52-2.64, 3 Zn 2.52-2.68
4 Cu 0.8312 0.8117 0.5259  1 Zn 2.51, 4 Cu 2.52-2.64
5 Cu 0.6282 0.0897 0.6538  3 Cu 2.52-2.64, 3 Zn 2.52-2.68
6 Cu 0.1688 0.4741 0.1883  1 Zn 2.51, 4 Cu 2.52-2.64
7 Cu 0.3718 0.3462 0.9103  3 Cu 2.52-2.64, 3 Zn 2.52-2.68
8 Cu 0.8312 0.5259 0.8117  1 Zn 2.51, 4 Cu 2.52-2.64
9 Pm 0.5000 0.5000 0.5000  12 Cu 2.99-3.27
10 Pm 0.7986 0.2014 0.2014  12 Cu 2.98-3.30, 4 Zn 3.14-3.31
11 Pm 0.2014 0.7986 0.7986  12 Cu 2.98-3.30, 4 Zn 3.14-3.31
12 Zn 0.5000 0.0000 0.0000  4 Cu 2.52
13 Zn 0.0000 0.2079 0.7921  6 Cu 2.51-2.68
14 Zn 0.0000 0.7921 0.2079  6 Cu 2.51-2.68

---

5.
PmZn8Cu4 after structural relaxation. Source: Alexandria, functional PBE.

Its symmetry is I4/mmm.

Lattice parameters (Å, degrees): 4.9570 6.7596 6.7596 82.27 68.49 68.49
Last column: nearest neighbours and their distance in Å.
Positions (direct):
1 Zn 0.5000 0.7779 0.2221  4 Cu 2.56, 6 Zn 2.73-2.81
2 Zn 0.2779 0.2221 0.2221  4 Cu 2.56, 6 Zn 2.73-2.81
3 Zn 0.0000 0.6505 0.3495  5 Zn 2.68-2.81, 4 Cu 2.69
4 Zn 0.3495 0.6505 0.6505  5 Zn 2.68-2.81, 4 Cu 2.69
5 Zn 0.5000 0.2221 0.7779  4 Cu 2.56, 6 Zn 2.73-2.81
6 Zn 0.6505 0.3495 0.3495  5 Zn 2.68-2.81, 4 Cu 2.69
7 Zn 0.0000 0.3495 0.6505  5 Zn 2.68-2.81, 4 Cu 2.69
8 Zn 0.7221 0.7779 0.7779  4 Cu 2.56, 6 Zn 2.73-2.81
9 Pm 0.0000 0.0000 0.0000  12 Zn 3.11-3.17, 8 Cu 3.38
10 Cu 0.0000 0.5000 0.0000  2 Cu 2.48, 8 Zn 2.56-2.69
11 Cu 0.5000 0.5000 0.0000  2 Cu 2.48, 8 Zn 2.56-2.69
12 Cu 0.0000 0.0000 0.5000  2 Cu 2.48, 8 Zn 2.56-2.69
13 Cu 0.5000 0.0000 0.5000  2 Cu 2.48, 8 Zn 2.56-2.69

---

6.
PmZnCu after structural relaxation. Source: Alexandria, functional PBE.

Its symmetry is I4mm.

Lattice parameters (Å, degrees): 3.4704 3.4704 5.5574 108.19 108.19 90.00
Last column: nearest neighbours and their distance in Å.
Positions (direct):
1 Pm 0.9497 0.9497 0.8994  5 Zn 3.03-3.14, 5 Cu 3.04-3.13
2 Cu 0.2546 0.2546 0.5092  4 Zn 2.68
3 Zn 0.6457 0.6457 0.2914  4 Cu 2.68

---

7.
Pm3ZnCu2 after structural relaxation. Source: Alexandria, functional PBE.

Its symmetry is P4/mmm.

Lattice parameters (Å, degrees): 3.6032 3.6032 10.7572 90.00 90.00 90.00
Last column: nearest neighbours and their distance in Å.
Positions (direct):
1 Cu 0.5000 0.5000 0.8344  8 Pm 3.10-3.11
2 Cu 0.5000 0.5000 0.1656  8 Pm 3.10-3.11
3 Pm 0.0000 0.0000 0.3291  4 Cu 3.10, 4 Zn 3.14
4 Pm 0.0000 0.0000 0.6709  4 Cu 3.10, 4 Zn 3.14
5 Pm 0.0000 0.0000 0.0000  8 Cu 3.11
6 Zn 0.5000 0.5000 0.5000  8 Pm 3.14

---

8.
Pm3Zn3Cu after structural relaxation. Source: Alexandria, functional PBE.

Its symmetry is Imm2.

Lattice parameters (Å, degrees): 4.5080 3.6345 10.2429 100.22 102.71 90.00
Last column: nearest neighbours and their distance in Å.
Positions (direct):
1 Zn 0.8640 0.3640 0.7280  2 Cu 2.65
2 Zn 0.5637 0.5637 0.1274  1 Cu 2.53, 2 Zn 2.67
3 Zn 0.1367 0.6367 0.2734  2 Zn 2.67
4 Pm 0.6918 0.1918 0.3837  7 Zn 3.09-3.38
5 Pm 0.3124 0.8124 0.6248  2 Cu 3.01, 4 Zn 3.07
6 Pm 0.9966 0.9966 0.9932  4 Cu 3.14, 8 Zn 3.18-3.30
7 Cu 0.4348 0.4348 0.8696  3 Zn 2.53-2.65

---

| no. | formation energy from the elements (eV/f.u.) |
| --- | --- |
| 1 | -1.40 |
| 2 | -1.88 |
| 3 | 2.11 |
| 4 | -3.03 |
| 5 | -2.65 |
| 6 | -0.42 |
| 7 | -1.30 |
| 8 | -1.93 |